No. 1
First-principles (PBE with a Hubbard U) data for an optimized crystal structure of NaMnTeF2, as listed in Alexandria via LeMat-Bulk. Values from VASP.

Cell and atoms, written as Quantum ESPRESSO input:
```
&SYSTEM
  ibrav = 0, nat = 5, ntyp = 4
/
ATOMIC_SPECIES
Na 22.99 Na.upf
Te 127.60 Te.upf
Mn 54.94 Mn.upf
F 19.00 F.upf
ATOMIC_POSITIONS crystal
Na 0.0000 0.5000 0.0000
Te 0.5000 0.5000 0.5000
Mn 0.0000 0.0000 0.0000
F 0.0000 0.0000 0.5000
F 0.5000 0.0000 0.0000
CELL_PARAMETERS angstrom
4.0881 0.0000 0.0000
0.0000 8.2253 0.0000
0.0000 0.0000 4.0881
```

No. 2
First-principles (PBE with a Hubbard U) data for an optimized crystal structure of KRb2CrF6, as listed in Alexandria via LeMat-Bulk. Values from VASP.

Cell and atoms, written as Quantum ESPRESSO input:
```
&SYSTEM
  ibrav = 0, nat = 10, ntyp = 4
/
ATOMIC_SPECIES
Cr 52.00 Cr.upf
K 39.10 K.upf
Rb 85.47 Rb.upf
F 19.00 F.upf
ATOMIC_POSITIONS crystal
Cr 0.0000 0.0000 0.0000
K 0.5000 0.5000 0.0000
Rb 0.2501 0.7500 0.5000
Rb 0.7499 0.2500 0.5000
F 0.8313 0.7402 0.9999
F 0.2596 0.8312 0.9997
F 0.7404 0.1688 0.0003
F 0.1687 0.2598 0.0001
F 0.2163 0.2159 0.4321
F 0.7837 0.7841 0.5679
CELL_PARAMETERS angstrom
-3.2305 2.3404 4.8907
2.8280 -4.1298 3.8441
3.5336 3.8902 -3.6013
```

no.,V (Å³/atom),total DFT energy (no corrections) (eV/cell)
1,27.49,-23.03
2,18.11,-50.41